Computed, not measured: a geometry-optimized HWCl2 structure at the PBE level of DFT.

CIF file:
```
data_HWCl2
_chemical_formula_sum 'H3 W3 Cl6'
_cell_length_a 3.1025
_cell_length_b 3.1025
_cell_length_c 27.8430
_cell_angle_alpha 90.00
_cell_angle_beta 90.00
_cell_angle_gamma 120.00
_symmetry_space_group_name_H-M 'R -3 m'
_symmetry_Int_Tables_number 166
_symmetry_space_group_name_Hall '-R 3 2"'
loop_
_atom_site_label
_atom_site_type_symbol
_atom_site_fract_x
_atom_site_fract_y
_atom_site_fract_z
H1 H 0.0000 0.0000 0.0000
W1 W 0.0000 0.0000 0.5000
Cl1 Cl 0.0000 0.0000 0.1040
```

## Properties
energy: -4.55 eV/atom
M_tot: 2.6 μB per cell
crystal system: trigonal
energy relative to the lowest polymorph listed for this composition: 0.00 kJ per mole of atoms
DOS at the Fermi energy: 0.295 states/eV/atom

=====

Computed, not measured: a geometry-optimized Mg2AgS structure at the PBE level of DFT.

CIF file:
```
data_Mg2AgS
_chemical_formula_sum 'Mg8 Ag4 S4'
_cell_length_a 6.930
_cell_length_b 6.930
_cell_length_c 7.373
_cell_angle_alpha 90.00
_cell_angle_beta 90.00
_cell_angle_gamma 90.00
_symmetry_space_group_name_H-M 'I -4 2 d'
_symmetry_Int_Tables_number 122
_symmetry_space_group_name_Hall 'I -4 2bw'
loop_
_atom_site_label
_atom_site_type_symbol
_atom_site_fract_x
_atom_site_fract_y
_atom_site_fract_z
Mg1 Mg 0.213 0.750 0.125
Ag1 Ag 0.000 0.000 0.500
S1 S 0.000 0.000 0.000
```

## Properties
energy: -2.96 eV/atom
formation energy without anion corrections: -9.57 kcal/mol of atoms
M_tot: 0.0 μB per cell
crystal system: tetragonal
DOS at the Fermi energy: 0.395 states/eV/atom

=====

Computed, not measured: a geometry-optimized Tc2PbAu structure at the PBE level of DFT.

CIF file:
```
data_Tc2PbAu
_chemical_formula_sum 'Tc8 Pb4 Au4'
_cell_length_a 7.584
_cell_length_b 7.584
_cell_length_c 5.469
_cell_angle_alpha 90.00
_cell_angle_beta 90.00
_cell_angle_gamma 90.00
_symmetry_space_group_name_H-M 'I -4 2 d'
_symmetry_Int_Tables_number 122
_symmetry_space_group_name_Hall 'I -4 2bw'
loop_
_atom_site_label
_atom_site_type_symbol
_atom_site_fract_x
_atom_site_fract_y
_atom_site_fract_z
Tc1 Tc 0.246 0.250 0.125
Pb1 Pb 0.000 0.000 0.500
Au1 Au 0.000 0.000 0.000
```

## Properties
energy: -5.92 eV/atom
formation energy: 1013 meV/atom
M_tot: 11.1 μB per cell
crystal system: tetragonal
DOS at the Fermi energy: 1.025 states/eV/atom

=====

Computed, not measured: a geometry-optimized SmEr3Ga4 structure at the PBE level of DFT.

CIF file:
```
data_SmEr3Ga4
_chemical_formula_sum 'Sm2 Er6 Ga8'
_cell_length_a 3.522
_cell_length_b 6.755
_cell_length_c 16.654
_cell_angle_alpha 90.00
_cell_angle_beta 90.00
_cell_angle_gamma 90.00
_symmetry_space_group_name_H-M 'I m m m'
_symmetry_Int_Tables_number 71
_symmetry_space_group_name_Hall '-I 2 2'
loop_
_atom_site_label
_atom_site_type_symbol
_atom_site_fract_x
_atom_site_fract_y
_atom_site_fract_z
Sm1 Sm 0.000 0.000 0.000
Er1 Er 0.000 0.000 0.500
Er2 Er 0.000 0.500 0.297
Ga1 Ga 0.000 0.309 0.131
```

## Properties
energy: -4.26 eV/atom
formation energy: -450 meV/atom
M_tot: 0.0 μB per cell
crystal system: orthorhombic
energy relative to the lowest polymorph listed for this composition: 11.78 kJ per mole of atoms
DOS at the Fermi energy: 0.544 states/eV/atom

=====

Computed, not measured: a geometry-optimized SbTeAu2 structure at the PBE level of DFT.

CIF file:
```
data_SbTeAu2
_chemical_formula_sum 'Sb2 Te2 Au4'
_cell_length_a 4.631
_cell_length_b 4.631
_cell_length_c 8.543
_cell_angle_alpha 90.00
_cell_angle_beta 90.00
_cell_angle_gamma 90.00
_symmetry_space_group_name_H-M 'I 4/m m m'
_symmetry_Int_Tables_number 139
_symmetry_space_group_name_Hall '-I 4 2'
loop_
_atom_site_label
_atom_site_type_symbol
_atom_site_fract_x
_atom_site_fract_y
_atom_site_fract_z
Sb1 Sb 0.000 0.000 0.000
Te1 Te 0.000 0.000 0.500
Au1 Au 0.000 0.500 0.250
```

## Properties
energy: -3.21 eV/atom
formation energy without anion corrections: 5.58 kcal/mol of atoms
M_tot: 0.0 μB per cell
crystal system: tetragonal
energy relative to the lowest polymorph listed for this composition: 27.00 kJ per mole of atoms
DOS at the Fermi energy: 0.423 states/eV/atom

=====

Computed, not measured: a geometry-optimized Sr2YNbS structure at the PBE level of DFT.

CIF file:
```
data_Sr2YNbS
_chemical_formula_sum 'Sr2 Y1 Nb1 S1'
_cell_length_a 5.734
_cell_length_b 5.734
_cell_length_c 4.772
_cell_angle_alpha 90.00
_cell_angle_beta 90.00
_cell_angle_gamma 90.00
_symmetry_space_group_name_H-M 'P 4/m m m'
_symmetry_Int_Tables_number 123
_symmetry_space_group_name_Hall '-P 4 2'
loop_
_atom_site_label
_atom_site_type_symbol
_atom_site_fract_x
_atom_site_fract_y
_atom_site_fract_z
Sr1 Sr 0.000 0.500 0.000
Y1 Y 0.000 0.000 0.500
Nb1 Nb 0.500 0.500 0.500
S1 S 0.500 0.500 0.000
```

## Properties
energy: -4.91 eV/atom
formation energy without anion corrections: -2.40 kcal/mol of atoms
M_tot: 0.0 μB per cell
crystal system: tetragonal
DOS at the Fermi energy: 1.429 states/eV/atom

=====

Computed, not measured: a geometry-optimized Na2TlSI structure at the PBE level of DFT.

CIF file:
```
data_Na2TlSI
_chemical_formula_sum 'Na2 Tl1 S1 I1'
_cell_length_a 5.295
_cell_length_b 5.295
_cell_length_c 6.146
_cell_angle_alpha 90.00
_cell_angle_beta 90.00
_cell_angle_gamma 90.00
_symmetry_space_group_name_H-M 'P 4/m m m'
_symmetry_Int_Tables_number 123
_symmetry_space_group_name_Hall '-P 4 2'
loop_
_atom_site_label
_atom_site_type_symbol
_atom_site_fract_x
_atom_site_fract_y
_atom_site_fract_z
Na1 Na 0.000 0.500 0.000
Tl1 Tl 0.000 0.000 0.500
S1 S 0.000 0.000 0.000
I1 I 0.500 0.500 0.500
```

## Properties
energy: -2.96 eV/atom
formation energy without anion corrections: -19.04 kcal/mol of atoms
M_tot: 0.0 μB per cell
crystal system: tetragonal
DOS at the Fermi energy: 0.000 states/eV/atom

=====

Computed, not measured: a geometry-optimized AcCdGaAg6 structure at the PBE level of DFT.

CIF file:
```
data_AcCdGaAg6
_chemical_formula_sum 'Ac4 Cd4 Ga4 Ag24'
_cell_length_a 7.301
_cell_length_b 9.179
_cell_length_c 12.322
_cell_angle_alpha 90.00
_cell_angle_beta 90.00
_cell_angle_gamma 90.00
_symmetry_space_group_name_H-M 'I m m a'
_symmetry_Int_Tables_number 74
_symmetry_space_group_name_Hall '-I 2b 2'
loop_
_atom_site_label
_atom_site_type_symbol
_atom_site_fract_x
_atom_site_fract_y
_atom_site_fract_z
Ac1 Ac 0.000 0.250 0.201
Cd1 Cd 0.250 0.250 0.750
Ga1 Ga 0.000 0.000 0.000
Ag1 Ag 0.000 0.250 0.484
Ag2 Ag 0.000 0.250 0.918
Ag3 Ag 0.192 0.001 0.380
```

## Properties
energy: -2.75 eV/atom
formation energy: 40 meV/atom
M_tot: 0.0 μB per cell
crystal system: orthorhombic
DOS at the Fermi energy: 0.559 states/eV/atom